1.
Computed, not measured: a geometry-optimized Hf2CdTe2 structure at the PBE level of DFT.

Calculated values
D(E_F) = 0.996 states/eV/f.u.
Volume = 237 Å³/cell
Energy relative to the elements, uncorrected = -0.342 eV per atom

```
Hf2CdTe2
1.0
-3.069 0.777 7.326
-2.674 -7.513 -0.324
3.195 -1.200 1.466
Hf Cd Te
4 2 4
direct
0.858 0.642 0.000
0.358 0.858 0.000
0.642 0.142 0.000
0.142 0.358 0.000
0.500 0.500 0.000
0.000 0.000 0.000
0.851 0.351 0.500
0.149 0.649 0.500
0.351 0.149 0.500
0.649 0.851 0.500
```


2.
Computed, not measured: a geometry-optimized AlV4H structure at the PBE level of DFT.

Calculated values
D(E_F) = 3.613 states/eV/f.u.
Volume = 142 Å³/cell
Energy above the most stable polymorph in this dataset = 0 meV per atom

```
AlV4H
1.0
-4.565 -1.960 -1.988
1.579 -0.405 -4.083
0.059 -5.954 2.507
V Al H
8 2 2
direct
0.941 0.411 0.798
0.568 0.628 0.219
0.765 0.021 0.990
0.235 0.979 0.010
0.059 0.589 0.202
0.337 0.216 0.391
0.432 0.372 0.781
0.663 0.784 0.609
0.170 0.821 0.609
0.830 0.179 0.391
0.608 0.684 0.894
0.392 0.316 0.106
```


Q: Among the records above, which one has the lowest D(E_F)?
A: Hf2CdTe2


Q: Which of these has the highest volume?
A: Hf2CdTe2


Q: Which value of D(E_F) does entry 2 give?
A: 3.613 states/eV/f.u.